Record 1
# AlCdCoHg

Crystalline AlCdCoHg at its relaxed geometry (GGA-PBE, OQMD).

## Properties
Space group: F-43m

Lattice parameters (Å, degrees): 4.574 4.574 4.574 60.00 60.00 60.00
Each line ends with the local moment (μB).
Fractional positions:
Cd 0.500 0.500 0.500  -0.01
Co 0.750 0.750 0.750  0.82
Hg 0.250 0.250 0.250  0.01
Al 0.000 0.000 0.000  -0.01



Record 2
# TmHf4C2S

Crystalline TmHf4C2S at its relaxed geometry (GGA-PBE, OQMD).

## Properties
Space group: P-6m2

Lattice parameters (Å, degrees): 3.344 3.344 14.197 90.00 90.00 120.00
Each line ends with the local moment (μB).
Fractional positions:
Hf 0.000 0.000 0.302  0.07
Hf 0.667 0.333 0.128  0.01
Hf 0.000 0.000 0.698  0.07
Hf 0.667 0.333 0.872  0.01
Tm 0.667 0.333 0.500  0.38
C 0.333 0.667 0.213  0.00
C 0.333 0.667 0.787  0.00
S 0.000 0.000 0.000  0.00



Record 3
# YFeReBi

Crystalline YFeReBi at its relaxed geometry (GGA-PBE, OQMD).

## Properties
Space group: F-43m

Lattice parameters (Å, degrees): 4.857 4.857 4.857 60.00 60.00 60.00
Fractional positions:
Re 0.500 0.500 0.500
Bi 0.000 0.000 0.000
Fe 0.750 0.750 0.750
Y 0.250 0.250 0.250



Record 4
# Ho2MgNi2

Crystalline Ho2MgNi2 at its relaxed geometry (GGA-PBE, OQMD).

## Properties
Space group: P4/mbm

Lattice parameters (Å, degrees): 7.294 7.294 3.725 90.00 90.00 90.00
Fractional positions:
Ho 0.172 0.672 0.500
Ho 0.672 0.828 0.500
Ho 0.328 0.172 0.500
Ho 0.828 0.328 0.500
Ni 0.121 0.379 0.000
Ni 0.379 0.879 0.000
Ni 0.621 0.121 0.000
Ni 0.879 0.621 0.000
Mg 0.000 0.000 0.000
Mg 0.500 0.500 0.000



Record 5
# AcGaIr

Crystalline AcGaIr at its relaxed geometry (GGA-PBE, OQMD).

## Properties
Space group: F-43m

Lattice parameters (Å, degrees): 4.960 4.960 4.960 60.00 60.00 60.00
Fractional positions:
Ir 0.750 0.750 0.750
Ac 0.000 0.000 0.000
Ga 0.250 0.250 0.250



Record 6
# BaInAuS3

Crystalline BaInAuS3 at its relaxed geometry (GGA-PBE, OQMD).

## Properties
Space group: Cmcm

Lattice parameters (Å, degrees): 7.636 7.636 10.440 90.00 90.00 148.51
Fractional positions:
S 0.051 0.949 0.750
S 0.620 0.380 0.472
S 0.949 0.051 0.250
S 0.380 0.620 0.528
S 0.380 0.620 0.972
S 0.620 0.380 0.028
Au 0.384 0.616 0.750
Au 0.616 0.384 0.250
Ba 0.706 0.294 0.750
Ba 0.294 0.706 0.250
In 0.000 0.000 0.500
In 0.000 0.000 0.000



Record 7
# Ba2Cd2SiGe

Crystalline Ba2Cd2SiGe at its relaxed geometry (GGA-PBE, OQMD).

## Properties
Space group: P4mm

Lattice parameters (Å, degrees): 4.702 4.702 7.949 90.00 90.00 90.00
Fractional positions:
Ba 0.500 0.500 0.829
Ba 0.000 0.000 0.172
Ge 0.500 0.500 0.284
Si 0.000 0.000 0.710
Cd 0.000 0.500 0.503
Cd 0.500 0.000 0.503



Record 8
# DyEr2Sn3IrPd2

Crystalline DyEr2Sn3IrPd2 at its relaxed geometry (GGA-PBE, OQMD).

## Properties
Space group: Amm2

Lattice parameters (Å, degrees): 3.836 7.625 7.625 120.05 90.00 90.00
Fractional positions:
Sn 0.500 0.739 0.000
Sn 0.500 0.261 0.261
Sn 0.500 0.000 0.739
Ir 0.000 0.001 0.001
Pd 0.500 0.667 0.332
Pd 0.500 0.332 0.667
Dy 0.000 0.601 0.601
Er 0.000 0.000 0.398
Er 0.000 0.398 0.000



Result set for energy: -2.71 -9.25 -7.15 -4.77 -4.99 -4.24 -3.00 -5.91 eV per atom, one per record in the order listed.